# 1
Tb5YGa6 | PBE-GGA | relaxed

```
data_Tb5YGa6
_symmetry_space_group_name_H-M 'C m m m'
_symmetry_Int_Tables_number 65
_symmetry_space_group_name_Hall '-C 2 2'
_cell_length_a 5.067
_cell_length_b 15.211
_cell_length_c 7.166
_cell_angle_alpha 90.00
_cell_angle_beta 90.00
_cell_angle_gamma 90.00
loop_
_atom_site_label
_atom_site_type_symbol
_atom_site_fract_x
_atom_site_fract_y
_atom_site_fract_z
_atom_site_occupancy
Tb1 Tb 0.000 0.000 0.000 1
Tb2 Tb 0.000 0.333 0.000 1
Tb3 Tb 0.000 0.333 0.500 1
Y1 Y 0.000 0.000 0.500 1
Ga1 Ga 0.000 0.166 0.251 1
Ga2 Ga 0.000 0.500 0.250 1
```

DOS at the Fermi energy = 8.07 states/eV per cell
E = -4.57 eV per atom
magnetization = 0.00 μB/cell



# 2
NdScAgRu | PBE-GGA | relaxed

```
data_NdScAgRu
_symmetry_space_group_name_H-M 'F -4 3 m'
_symmetry_Int_Tables_number 216
_symmetry_space_group_name_Hall 'F -4 2 3'
_cell_length_a 6.957
_cell_length_b 6.957
_cell_length_c 6.957
_cell_angle_alpha 90.00
_cell_angle_beta 90.00
_cell_angle_gamma 90.00
loop_
_atom_site_label
_atom_site_type_symbol
_atom_site_fract_x
_atom_site_fract_y
_atom_site_fract_z
_atom_site_occupancy
Nd1 Nd 0.000 0.000 0.000 1
Sc1 Sc 0.000 0.000 0.500 1
Ag1 Ag 0.250 0.250 0.250 1
Ru1 Ru 0.250 0.250 0.750 1
```

DOS at the Fermi energy = 12.25 states/eV per cell
E = -6.05 eV per atom
magnetization = 0.00 μB/cell



# 3
NdHoSb2O8 | PBE-GGA | relaxed

```
data_NdHoSb2O8
_symmetry_space_group_name_H-M 'I -4'
_symmetry_Int_Tables_number 82
_symmetry_space_group_name_Hall 'I -4'
_cell_length_a 5.318
_cell_length_b 5.318
_cell_length_c 11.378
_cell_angle_alpha 90.00
_cell_angle_beta 90.00
_cell_angle_gamma 90.00
loop_
_atom_site_label
_atom_site_type_symbol
_atom_site_fract_x
_atom_site_fract_y
_atom_site_fract_z
_atom_site_occupancy
Nd1 Nd 0.000 0.000 0.000 1
Ho1 Ho 0.000 0.500 0.750 1
Sb1 Sb 0.000 0.000 0.500 1
Sb2 Sb 0.000 0.500 0.250 1
O1 O 0.172 0.253 0.590 1
O2 O 0.184 0.752 0.164 1
```

DOS at the Fermi energy = 0.00 states/eV per cell
magnetization = 0.00 μB/cell
formation energy without anion corrections = -2.3154 eV/atom



# 4
ZnTe2OsC | PBE-GGA | relaxed

```
data_ZnTe2OsC
_symmetry_space_group_name_H-M 'P 4/m m m'
_symmetry_Int_Tables_number 123
_symmetry_space_group_name_Hall '-P 4 2'
_cell_length_a 5.112
_cell_length_b 5.112
_cell_length_c 4.649
_cell_angle_alpha 90.00
_cell_angle_beta 90.00
_cell_angle_gamma 90.00
loop_
_atom_site_label
_atom_site_type_symbol
_atom_site_fract_x
_atom_site_fract_y
_atom_site_fract_z
_atom_site_occupancy
Zn1 Zn 0.000 0.000 0.000 1
Te1 Te 0.000 0.500 0.000 1
Os1 Os 0.000 0.000 0.500 1
C1 C 0.500 0.500 0.500 1
```

DOS at the Fermi energy = 5.79 states/eV per cell
magnetization = 0.91 μB/cell
formation energy without anion corrections = 2.5828 eV/atom



# 5
Zn2FeIr | PBE-GGA | relaxed

```
data_Zn2FeIr
_symmetry_space_group_name_H-M 'I m m 2'
_symmetry_Int_Tables_number 44
_symmetry_space_group_name_Hall 'I 2 -2'
_cell_length_a 2.960
_cell_length_b 4.302
_cell_length_c 8.556
_cell_angle_alpha 90.00
_cell_angle_beta 90.00
_cell_angle_gamma 90.00
loop_
_atom_site_label
_atom_site_type_symbol
_atom_site_fract_x
_atom_site_fract_y
_atom_site_fract_z
_atom_site_occupancy
Zn1 Zn 0.000 0.000 0.000 1
Zn2 Zn 0.000 0.500 0.249 1
Fe1 Fe 0.000 0.500 0.746 1
Ir1 Ir 0.000 0.000 0.493 1
```

DOS at the Fermi energy = 5.60 states/eV per cell
E = -5.01 eV per atom
magnetization = 5.77 μB/cell



# 6
HgIrRu2 | PBE-GGA | relaxed

```
data_HgIrRu2
_symmetry_space_group_name_H-M 'I 4/m m m'
_symmetry_Int_Tables_number 139
_symmetry_space_group_name_Hall '-I 4 2'
_cell_length_a 3.929
_cell_length_b 3.929
_cell_length_c 8.069
_cell_angle_alpha 90.00
_cell_angle_beta 90.00
_cell_angle_gamma 90.00
loop_
_atom_site_label
_atom_site_type_symbol
_atom_site_fract_x
_atom_site_fract_y
_atom_site_fract_z
_atom_site_occupancy
Hg1 Hg 0.000 0.000 0.000 1
Ir1 Ir 0.000 0.000 0.500 1
Ru1 Ru 0.000 0.500 0.250 1
```

DOS at the Fermi energy = 12.41 states/eV per cell
E = -6.40 eV per atom
magnetization = 0.00 μB/cell



# 7
TlNi3C | PBE-GGA | relaxed

```
data_TlNi3C
_symmetry_space_group_name_H-M 'P m -3 m'
_symmetry_Int_Tables_number 221
_symmetry_space_group_name_Hall '-P 4 2 3'
_cell_length_a 4.722
_cell_length_b 4.722
_cell_length_c 4.722
_cell_angle_alpha 90.00
_cell_angle_beta 90.00
_cell_angle_gamma 90.00
loop_
_atom_site_label
_atom_site_type_symbol
_atom_site_fract_x
_atom_site_fract_y
_atom_site_fract_z
_atom_site_occupancy
Tl1 Tl 0.000 0.000 0.000 1
Ni1 Ni 0.000 0.000 0.500 1
C1 C 0.500 0.500 0.500 1
```

DOS at the Fermi energy = 7.36 states/eV per cell
polymorph energy (0 for the lowest one) = 2488 meV/atom
magnetization = 0.05 μB/cell



# 8
U2GeTe | PBE-GGA | relaxed

```
data_U2GeTe
_symmetry_space_group_name_H-M 'R -3 m'
_symmetry_Int_Tables_number 166
_symmetry_space_group_name_Hall '-R 3 2"'
_cell_length_a 4.3238
_cell_length_b 4.3238
_cell_length_c 20.0637
_cell_angle_alpha 90.00
_cell_angle_beta 90.00
_cell_angle_gamma 120.00
loop_
_atom_site_label
_atom_site_type_symbol
_atom_site_fract_x
_atom_site_fract_y
_atom_site_fract_z
_atom_site_occupancy
U1 U 0.0000 0.0000 0.2409 1
Ge1 Ge 0.0000 0.0000 0.5000 1
Te1 Te 0.0000 0.0000 0.0000 1
```

DOS at the Fermi energy = 38.61 states/eV per cell
polymorph energy (0 for the lowest one) = 0 meV/atom
magnetization = 15.93 μB/cell
formation energy without anion corrections = -0.2744 eV/atom



# 9
Nd3Tm2Zn2 | PBE-GGA | relaxed

```
data_Nd3Tm2Zn2
_symmetry_space_group_name_H-M 'C m m m'
_symmetry_Int_Tables_number 65
_symmetry_space_group_name_Hall '-C 2 2'
_cell_length_a 3.634
_cell_length_b 30.810
_cell_length_c 3.588
_cell_angle_alpha 90.00
_cell_angle_beta 90.00
_cell_angle_gamma 90.00
loop_
_atom_site_label
_atom_site_type_symbol
_atom_site_fract_x
_atom_site_fract_y
_atom_site_fract_z
_atom_site_occupancy
Nd1 Nd 0.000 0.000 0.000 1
Nd2 Nd 0.000 0.122 0.000 1
Tm1 Tm 0.000 0.297 0.500 1
Zn1 Zn 0.000 0.439 0.500 1
```

DOS at the Fermi energy = 18.97 states/eV per cell
E = -3.76 eV per atom
magnetization = 0.01 μB/cell



# 10
ZnFe2PdN | PBE-GGA | relaxed

```
data_ZnFe2PdN
_symmetry_space_group_name_H-M 'P 4/m m m'
_symmetry_Int_Tables_number 123
_symmetry_space_group_name_Hall '-P 4 2'
_cell_length_a 3.764
_cell_length_b 3.764
_cell_length_c 4.301
_cell_angle_alpha 90.00
_cell_angle_beta 90.00
_cell_angle_gamma 90.00
loop_
_atom_site_label
_atom_site_type_symbol
_atom_site_fract_x
_atom_site_fract_y
_atom_site_fract_z
_atom_site_occupancy
Zn1 Zn 0.000 0.000 0.000 1
Fe1 Fe 0.000 0.500 0.500 1
Pd1 Pd 0.500 0.500 0.000 1
N1 N 0.500 0.500 0.500 1
```

DOS at the Fermi energy = 3.44 states/eV per cell
polymorph energy (0 for the lowest one) = 0 meV/atom
magnetization = 4.41 μB/cell
formation energy without anion corrections = -0.0664 eV/atom



# 11
SmDy3Sc | PBE-GGA | relaxed

```
data_SmDy3Sc
_symmetry_space_group_name_H-M 'P -1'
_symmetry_Int_Tables_number 2
_symmetry_space_group_name_Hall '-P 1'
_cell_length_a 3.506
_cell_length_b 8.610
_cell_length_c 11.273
_cell_angle_alpha 67.88
_cell_angle_beta 89.94
_cell_angle_gamma 78.30
loop_
_atom_site_label
_atom_site_type_symbol
_atom_site_fract_x
_atom_site_fract_y
_atom_site_fract_z
_atom_site_occupancy
Sm1 Sm 0.126 0.247 0.224 1
Dy1 Dy 0.024 0.451 0.648 1
Dy2 Dy 0.335 0.833 0.458 1
Dy3 Dy 0.426 0.649 0.072 1
Sc1 Sc 0.223 0.054 0.856 1
```

DOS at the Fermi energy = 15.54 states/eV per cell
polymorph energy (0 for the lowest one) = 17 meV/atom
magnetization = 0.00 μB/cell



# 12
K2NdZrS4 | PBE-GGA | relaxed

```
data_K2NdZrS4
_symmetry_space_group_name_H-M 'P 1 2/m 1'
_symmetry_Int_Tables_number 10
_symmetry_space_group_name_Hall '-P 2y'
_cell_length_a 6.928
_cell_length_b 3.958
_cell_length_c 7.760
_cell_angle_alpha 90.00
_cell_angle_beta 106.91
_cell_angle_gamma 90.00
loop_
_atom_site_label
_atom_site_type_symbol
_atom_site_fract_x
_atom_site_fract_y
_atom_site_fract_z
_atom_site_occupancy
K1 K 0.000 0.000 0.000 1
K2 K 0.500 0.500 0.000 1
Nd1 Nd 0.000 0.500 0.500 1
Zr1 Zr 0.500 0.000 0.500 1
S1 S 0.256 0.000 0.708 1
S2 S 0.285 0.500 0.300 1
```

DOS at the Fermi energy = 3.30 states/eV per cell
magnetization = 0.00 μB/cell
formation energy without anion corrections = -1.6338 eV/atom